No. 1
CePrSiHg: relaxed, PBE.

Cell: 7.476 7.476 7.476 Å, 90.00 90.00 90.00°
Space group F-43m (No. 216)
Symmetry-distinct sites (fractional):
Ce  0.000  0.000  0.000
Pr  0.000  0.000  0.500
Si  0.250  0.250  0.250
Hg  0.250  0.250  0.750

## Properties
final energy = -4.499 eV/atom

***

No. 2
Ce2PrSmHg4: relaxed, PBE.

Cell: 5.4165 5.4165 26.5939 Å, 90.00 90.00 120.00°
Space group R-3m (No. 166, hexagonal axes)
Symmetry-distinct sites (fractional):
Ce  0.0000  0.0000  0.2503
Pr  0.0000  0.0000  0.0000
Sm  0.0000  0.0000  0.5000
Hg  0.0000  0.0000  0.1264
Hg  0.0000  0.0000  0.3765

## Properties
calculated formation energy = -0.37 eV/atom

***

No. 3
CePrSmHg: relaxed, PBE.

Cell: 7.711 7.711 7.711 Å, 90.00 90.00 90.00°
Space group F-43m (No. 216)
Symmetry-distinct sites (fractional):
Ce  0.000  0.000  0.000
Pr  0.250  0.250  0.750
Sm  0.250  0.250  0.250
Hg  0.000  0.000  0.500

## Properties
calculated formation energy = -0.01 eV/atom

***

No. 4
CePr2Sn2Hg2: relaxed, PBE.

Cell: 5.0458 5.0458 27.8804 Å, 90.00 90.00 120.00°
Space group R-3m (No. 166, hexagonal axes)
Symmetry-distinct sites (fractional):
Ce  0.0000  0.0000  0.0000
Pr  0.0000  0.0000  0.1296
Sn  0.0000  0.0000  0.2721
Hg  0.0000  0.0000  0.4237

## Properties
calculated formation energy = -0.33 eV/atom